{"formula": "Zr3CrIn3S8", "functional": "PBE", "state": "optimized geometry", "cell": [[7.207, 0.000, 0.000], [-3.604, 6.244, -0.028], [0.000, -4.130, 7.875]], "species": ["Zr", "Zr", "Zr", "Cr", "In", "In", "In", "S", "S", "S", "S", "S", "S", "S", "S"], "frac_coords": [[0.500, 0.000, 0.500], [0.500, 0.500, 0.500], [0.000, 0.500, 0.500], [0.000, 0.000, 0.500], [0.000, 0.000, 0.000], [0.000, 0.500, 0.000], [0.500, 0.500, 0.000], [0.268, 0.536, 0.304], [0.732, 0.464, 0.696], [0.779, 0.558, 0.313], [0.221, 0.442, 0.687], [0.779, 0.033, 0.312], [0.221, 0.967, 0.688], [0.255, 0.034, 0.313], [0.745, 0.966, 0.687]], "formation_energy_uncorrected_ev_per_atom": -1.02}